Record 1
AgOs2SeI: optimized geometry, PBE.

Output
As for the crystal system: tetragonal. The value obtained for the uncorrected formation energy is 2364 meV per atom. The raw total energy is -3.71 eV per atom. The calculation puts the density of states at the Fermi level at 5.6 states/eV/cell.

Cell lengths 4.8729, 4.8729, 5.5546 Å; angles 90.00, 90.00, 90.00 degrees
Fractional positions:
Ag (0.0000, 0.0000, 0.0000)
Os (0.0000, 0.5000, 0.5000)
Os (0.5000, 0.0000, 0.5000)
Se (0.5000, 0.5000, 0.0000)
I (0.5000, 0.5000, 0.5000)

Record 2
SiOsCl2: optimized geometry, PBE.

Output
As for the crystal system: monoclinic. The value obtained for the uncorrected formation energy is 56 meV per atom. The raw total energy is -5.03 eV per atom. Its energy above the most stable polymorph in this dataset is 253 meV/atom.

Cell lengths 6.6935, 3.8559, 7.3659 Å; angles 90.00, 92.33, 90.00 degrees
Fractional positions:
Si (0.0000, 0.0000, 0.0000)
Si (0.5000, 0.5000, 0.0000)
Os (0.1672, 0.5000, 0.9162)
Os (0.6672, 0.0000, 0.9162)
Cl (0.0805, 0.5000, 0.2358)
Cl (0.3173, 0.0000, 0.6955)
Cl (0.5805, 0.0000, 0.2358)
Cl (0.8173, 0.5000, 0.6955)

no.,total magnetization (μB per formula unit)
1,3.23
2,0.00